Cs2NaMnRu at its PBEsol-relaxed geometry. Source: the Alexandria database, functional SCAN.

As for the crystal system: tetragonal. For the formation energy from the elements, the calculation gives 0.914 eV/atom.

The structure belongs to space group P4/mmm (No. 123); the cell edges are 6.885, 6.885 and 4.282 Å and the angles 90.00°, 90.00° and 90.00°. The asymmetric unit holds Cs at (0.000, 0.500, 0.000), Na at (0.000, 0.000, 0.500), Mn at (0.500, 0.500, 0.000) and Ru at (0.500, 0.500, 0.500).



CsNa2MnSi at its PBEsol-relaxed geometry. Source: the Alexandria database, functional SCAN.

As for the crystal system: tetragonal. The value obtained for the energy relative to the elements, uncorrected is 500 kJ/mol of formula units.

The structure belongs to space group P4/mmm (No. 123); the cell edges are 5.688, 5.688 and 6.405 Å and the angles 90.00°, 90.00° and 90.00°. The asymmetric unit holds Cs at (0.000, 0.000, 0.000), Na at (0.000, 0.500, 0.500), Mn at (0.000, 0.000, 0.500) and Si at (0.500, 0.500, 0.000).



Cs2MnNbSb at its PBEsol-relaxed geometry. Source: the Alexandria database, functional SCAN.

As for the crystal system: tetragonal. The value obtained for the energy relative to the elements, uncorrected is 389 kJ/mol of formula units.

The structure belongs to space group P4/mmm (No. 123); the cell edges are 6.905, 6.905 and 5.338 Å and the angles 90.00°, 90.00° and 90.00°. The asymmetric unit holds Cs at (0.000, 0.500, 0.000), Mn at (0.000, 0.000, 0.500), Nb at (0.500, 0.500, 0.000) and Sb at (0.500, 0.500, 0.500).



CsTaMnNb2 at its PBEsol-relaxed geometry. Source: the Alexandria database, functional SCAN.

As for the crystal system: tetragonal. For the formation energy from the elements, the calculation gives 1.452 eV/atom.

The structure belongs to space group P4/mmm (No. 123); the cell edges are 4.995, 4.995 and 5.178 Å and the angles 90.00°, 90.00° and 90.00°. The asymmetric unit holds Cs at (0.000, 0.000, 0.000), Ta at (0.500, 0.500, 0.500), Mn at (0.500, 0.500, 0.000) and Nb at (0.000, 0.500, 0.500).



| no. | total DFT energy (no corrections) (hartree per atom) |
| --- | --- |
| 1 | -0.943 |
| 2 | -0.510 |
| 3 | -1.178 |
| 4 | -1.335 |